First-principles (PBE-GGA) data for an optimized crystal structure of PmCdGePt, as listed in Alexandria via LeMat-Bulk.

Summary:
Symmetry ... F-43m, No. 216
Energy relative to the elements ... -549.7 meV per atom

Geometry as POSCAR:
```
PmCdGePt
1.0
4.9225 0.0000 0.0000
2.4613 4.2630 0.0000
2.4613 1.4210 4.0192
Ge Cd Pt Pm
1 1 1 1
Cartesian
2.4613 1.4210 1.0048 Ge
4.9225 2.8420 2.0096 Cd
7.3838 4.2630 3.0144 Pt
0.0000 0.0000 0.0000 Pm
```

First-principles (PBE-GGA) data for an optimized crystal structure of Pm2CdGe3Pt4, as listed in Alexandria via LeMat-Bulk.

Summary:
Symmetry ... P-4m2, No. 115
Energy relative to the elements ... -834.9 meV per atom

Geometry as POSCAR:
```
Pm2CdGe3Pt4
1.0
4.3367 0.0000 0.0000
0.0000 4.3367 0.0000
0.0000 0.0000 10.5962
Pm Cd Ge Pt
2 1 3 4
Cartesian
2.1683 0.0000 2.5949 Pm
0.0000 2.1683 8.0013 Pm
2.1683 2.1683 5.2981 Cd
0.0000 0.0000 5.2981 Ge
2.1683 0.0000 9.2705 Ge
0.0000 2.1683 1.3257 Ge
2.1683 2.1683 0.0000 Pt
0.0000 0.0000 0.0000 Pt
2.1683 0.0000 6.8615 Pt
0.0000 2.1683 3.7347 Pt
```

First-principles (PBE-GGA) data for an optimized crystal structure of Pm2CdGePt6, as listed in Alexandria via LeMat-Bulk.

Summary:
Symmetry ... C2/m, No. 12
Energy relative to the elements ... -703.2 meV per atom

Geometry as POSCAR:
```
Pm2CdGePt6
1.0
8.7172 -0.0115 2.1399
-0.0061 5.6691 0.0452
5.8911 2.7878 6.1798
Pm Cd Ge Pt
2 1 1 6
Cartesian
6.1020 5.6375 4.3534 Pm
8.5001 2.8079 4.0114 Pm
4.3555 2.8288 1.0925 Cd
0.0000 0.0000 0.0000 Ge
7.8815 7.0035 6.5884 Pt
6.7180 4.2055 1.7988 Pt
5.3422 2.8067 3.7446 Pt
6.7207 1.4419 1.7765 Pt
7.8841 4.2399 6.5661 Pt
9.2599 5.6387 4.6203 Pt
```

First-principles (PBE-GGA) data for an optimized crystal structure of PmCdGe2Pt2, as listed in Alexandria via LeMat-Bulk.

Summary:
Symmetry ... P-3m1, No. 164
Energy relative to the elements ... -675.0 meV per atom

Geometry as POSCAR:
```
PmCdGe2Pt2
1.0
4.3655 0.0000 0.0000
-2.1827 3.7806 0.0000
0.0000 0.0000 7.1451
Pm Cd Ge Pt
1 1 2 2
Cartesian
0.0000 0.0000 0.0000 Pm
0.0000 0.0000 3.5725 Cd
2.1827 1.2602 1.8610 Ge
0.0000 2.5204 5.2841 Ge
2.1827 1.2602 5.0041 Pt
0.0000 2.5204 2.1410 Pt
```

In order of appearance, DFT total energy = -4.631, -5.678, -5.831, -5.172 eV/atom.